(1)
A plane-wave DFT calculation with GGA-PBE was carried out for a relaxed structure of Ba2ScCuO4.

Values from the calculation:
formation energy (no corrections): -2.242 eV per atom
space group: I-4
density: 5.4 g cm⁻³
polymorph energy (0 for the lowest one): 287 meV/atom

Cell lengths 5.7053, 5.7053, 5.7053 Å; angles 115.62, 115.62, 97.76 degrees
Sites, in units of the cell vectors:
Ba (0.0000, 0.0000, 0.0000)
Ba (0.7500, 0.2500, 0.5000)
Sc (0.5000, 0.5000, 0.0000)
Cu (0.2500, 0.7500, 0.5000)
O (0.1918, 0.1355, 0.6035)
O (0.4117, 0.8082, 0.9437)
O (0.5320, 0.5883, 0.3965)
O (0.8645, 0.4680, 0.0563)

---

(2)
A plane-wave DFT calculation with GGA-PBE was carried out for a relaxed structure of CeMg6Mo.

Values from the calculation:
ΔH_f (0 K): 0.18 eV/atom
space group: Amm2
density: 3.6 g cm⁻³
polymorph energy (0 for the lowest one): 0 meV/atom

Cell lengths 4.7636, 6.6599, 6.6599 Å; angles 57.22, 90.00, 90.00 degrees
Sites, in units of the cell vectors:
Ce (0.0000, 0.0000, 0.0000)
Mg (0.0000, 0.0258, 0.5280)
Mg (0.0000, 0.5280, 0.0258)
Mg (0.0000, 0.5454, 0.5454)
Mg (0.5000, 0.3850, 0.3850)
Mg (0.5000, 0.3851, 0.8825)
Mg (0.5000, 0.8825, 0.3851)
Mo (0.5000, 0.9041, 0.9041)

---

(3)
A plane-wave DFT calculation with GGA-PBE was carried out for a relaxed structure of Fe4Te3.

Values from the calculation:
formation energy (no corrections): 0.995 eV per atom
space group: P6/mmm
density: 6.8 g cm⁻³
polymorph energy (0 for the lowest one): 805 meV/atom

Cell lengths 6.2421, 6.2421, 4.3826 Å; angles 90.00, 90.00, 120.00 degrees
Sites, in units of the cell vectors:
Fe (0.0000, 0.0000, 0.2471)
Fe (0.0000, 0.0000, 0.7529)
Fe (0.3333, 0.6667, 0.5000)
Fe (0.6667, 0.3333, 0.5000)
Te (0.0000, 0.5000, 0.0000)
Te (0.5000, 0.0000, 0.0000)
Te (0.5000, 0.5000, 0.0000)

---

(4)
A plane-wave DFT calculation with GGA-PBE was carried out for a relaxed structure of TbCe2Dy3Se6.

Values from the calculation:
formation energy (no corrections): -1.786 eV per atom
space group: C2/m
density: 7.8 g cm⁻³

Cell lengths 7.1114, 7.1114, 7.1866 Å; angles 99.51, 99.51, 120.10 degrees
Sites, in units of the cell vectors:
Tb (0.0000, 0.0000, 0.0000)
Ce (0.3337, 0.6663, 0.0000)
Ce (0.6663, 0.3337, 0.0000)
Dy (0.1669, 0.8331, 0.5000)
Dy (0.5000, 0.5000, 0.5000)
Dy (0.8331, 0.1669, 0.5000)
Se (0.0859, 0.4149, 0.2581)
Se (0.2425, 0.2425, 0.7413)
Se (0.4149, 0.0859, 0.2581)
Se (0.5851, 0.9141, 0.7419)
Se (0.7575, 0.7575, 0.2587)
Se (0.9141, 0.5851, 0.7419)

---

(5)
A plane-wave DFT calculation with GGA-PBE was carried out for a relaxed structure of Pm6Ge2AsI3.

Values from the calculation:
formation energy (no corrections): -1.119 eV per atom
space group: C2/m
density: 6.6 g cm⁻³

Cell lengths 7.4759, 7.4759, 8.0291 Å; angles 98.92, 98.92, 120.00 degrees
Sites, in units of the cell vectors:
Pm (0.0997, 0.4344, 0.8032)
Pm (0.2307, 0.2307, 0.1968)
Pm (0.4344, 0.0997, 0.8032)
Pm (0.5656, 0.9003, 0.1968)
Pm (0.7693, 0.7693, 0.8032)
Pm (0.9003, 0.5656, 0.1968)
Ge (0.1667, 0.8333, 0.0000)
Ge (0.8333, 0.1667, 0.0000)
As (0.5000, 0.5000, 0.0000)
I (0.0000, 0.0000, 0.5000)
I (0.3330, 0.6670, 0.5000)
I (0.6670, 0.3330, 0.5000)

---

(6)
A plane-wave DFT calculation with GGA-PBE was carried out for a relaxed structure of Re2TeW2.

Values from the calculation:
formation energy (no corrections): 0.558 eV per atom
space group: P4/mbm
density: 16.1 g cm⁻³
polymorph energy (0 for the lowest one): 0 meV/atom

Cell lengths 7.8183, 7.8183, 2.9349 Å; angles 90.00, 90.00, 90.00 degrees
Sites, in units of the cell vectors:
Re (0.1406, 0.3594, 0.0000)
Re (0.3594, 0.8594, 0.0000)
Re (0.6406, 0.1406, 0.0000)
Re (0.8594, 0.6406, 0.0000)
Te (0.0000, 0.0000, 0.5000)
Te (0.5000, 0.5000, 0.5000)
W (0.1456, 0.6456, 0.5000)
W (0.3544, 0.1456, 0.5000)
W (0.6456, 0.8544, 0.5000)
W (0.8544, 0.3544, 0.5000)

---

(7)
A plane-wave DFT calculation with GGA-PBE was carried out for a relaxed structure of ScZn.

Values from the calculation:
ΔH_f (0 K): 0.00 eV/atom
space group: Fm-3m
density: 4.3 g cm⁻³

Cell lengths 3.9215, 3.9215, 3.9215 Å; angles 60.00, 60.00, 60.00 degrees
Sites, in units of the cell vectors:
Sc (0.0000, 0.0000, 0.0000)
Zn (0.5000, 0.5000, 0.5000)

---

(8)
A plane-wave DFT calculation with GGA-PBE was carried out for a relaxed structure of HoV4.

Values from the calculation:
ΔH_f (0 K): 2.06 eV/atom
space group: Pm-3m
density: 6.0 g cm⁻³

Cell lengths 4.6758, 4.6758, 4.6758 Å; angles 90.00, 90.00, 90.00 degrees
Sites, in units of the cell vectors:
Ho (0.0000, 0.0000, 0.0000)
V (0.0000, 0.0000, 0.5000)
V (0.0000, 0.5000, 0.0000)
V (0.5000, 0.0000, 0.0000)
V (0.5000, 0.5000, 0.5000)

---

- Which value of density does entry 3 give?
  6.8 g cm⁻³

---

- Which formula does entry 2 have?
  CeMg6Mo

---

Copy entry 7 word for word.
A plane-wave DFT calculation with GGA-PBE was carried out for a relaxed structure of ScZn.

Values from the calculation:
ΔH_f (0 K): 0.00 eV/atom
space group: Fm-3m
density: 4.3 g cm⁻³

Cell lengths 3.9215, 3.9215, 3.9215 Å; angles 60.00, 60.00, 60.00 degrees
Sites, in units of the cell vectors:
Sc (0.0000, 0.0000, 0.0000)
Zn (0.5000, 0.5000, 0.5000)

---

Please write out number 4 again, unchanged.
A plane-wave DFT calculation with GGA-PBE was carried out for a relaxed structure of TbCe2Dy3Se6.

Values from the calculation:
formation energy (no corrections): -1.786 eV per atom
space group: C2/m
density: 7.8 g cm⁻³

Cell lengths 7.1114, 7.1114, 7.1866 Å; angles 99.51, 99.51, 120.10 degrees
Sites, in units of the cell vectors:
Tb (0.0000, 0.0000, 0.0000)
Ce (0.3337, 0.6663, 0.0000)
Ce (0.6663, 0.3337, 0.0000)
Dy (0.1669, 0.8331, 0.5000)
Dy (0.5000, 0.5000, 0.5000)
Dy (0.8331, 0.1669, 0.5000)
Se (0.0859, 0.4149, 0.2581)
Se (0.2425, 0.2425, 0.7413)
Se (0.4149, 0.0859, 0.2581)
Se (0.5851, 0.9141, 0.7419)
Se (0.7575, 0.7575, 0.2587)
Se (0.9141, 0.5851, 0.7419)